The following is a DFT calculation (PBE) of a geometry-optimized La3SiH2 structure.

a b c (Å): 5.0454 12.8861 3.9864
angles (deg): 90.00 90.00 90.00
Closest atoms and distances in Å follow each position.
Element x y z (fractional)
La: 0.2500 0.0644 0.2449  4 H 2.51-2.54
La: 0.2500 0.4356 0.2449  4 H 2.51-2.54
La: 0.2500 0.7500 0.7016  2 H 2.51
La: 0.7500 0.2500 0.2984  2 H 2.51
La: 0.7500 0.5644 0.7551  4 H 2.51-2.54
La: 0.7500 0.9356 0.7551  4 H 2.51-2.54
Si: 0.2500 0.2500 0.7599  8 La 3.08-3.31
Si: 0.7500 0.7500 0.2401  8 La 3.08-3.31
H: 0.2500 0.5559 0.7407  5 La 2.51-2.54
H: 0.2500 0.9441 0.7407  5 La 2.51-2.54
H: 0.7500 0.0559 0.2593  5 La 2.51-2.54
H: 0.7500 0.4441 0.2593  5 La 2.51-2.54

DOS(E_F): 7.04 states/eV per cell
VASP energy: -4.98 eV per atom
Symmetry: Pmmn (59)